An optimized crystal structure of Zn2Ni2P, computed with PBE.

The space group is P4/mbm (No. 127) and the conventional cell measures 5.819, 5.819 and 3.881 Å, with angles of 90.00, 90.00 and 90.00 degrees. The distinct sites, in fractional coordinates, are Zn at (0.154, 0.346, 0.000), Ni at (0.158, 0.658, 0.500) and P at (0.000, 0.000, 0.500).

As for the energy relative to the lowest polymorph listed for this composition: 0 meV/atom. Its total energy is -4.114 eV per atom. Its volume is 13.1 A^3/atom.